Density functional theory data (GGA-PBE) for an optimized crystal structure of LaTaH2.

Structure (POSCAR):
```
LaTaH2
1.0
6.084 0.000 0.000
0.000 6.084 0.000
0.000 0.000 6.084
La Ta H
4 4 8
direct
0.000 0.000 0.000
0.000 0.500 0.500
0.500 0.000 0.500
0.500 0.500 0.000
0.000 0.000 0.500
0.000 0.500 0.000
0.500 0.000 0.000
0.500 0.500 0.500
0.250 0.250 0.250
0.250 0.250 0.750
0.250 0.750 0.250
0.250 0.750 0.750
0.750 0.250 0.250
0.750 0.250 0.750
0.750 0.750 0.250
0.750 0.750 0.750
```

Properties
As for the relative energy among the computed polymorphs: 64.90 kJ/mol of atoms. For the density of states at the Fermi level, the calculation gives 20.162 states/eV per cell. The value obtained for the final energy is -0.1931 Ha/atom.